Ga2H6F | PBE | relaxed

The calculation puts the density of states at the Fermi level at 15.7 states/eV/cell. The value obtained for the electronic total energy is -2.64 eV/atom.

The structure belongs to space group Fm-3m (No. 225); the cell edges are 6.632, 6.632 and 6.632 Å and the angles 90.00°, 90.00° and 90.00°. Symmetry generates all atoms from Ga at (0.250, 0.250, 0.250), H at (0.000, 0.000, 0.142) and F at (0.000, 0.000, 0.500).

---

GaH2F4 | PBE | relaxed

The calculation puts the density of states at the Fermi level at 1.2 states/eV/cell. The value obtained for the electronic total energy is -4.18 eV/atom.

The structure belongs to space group P1 (No. 1); the cell edges are 3.316, 5.481 and 5.709 Å and the angles 99.95°, 102.89° and 101.67°. Symmetry generates all atoms from Ga at (0.000, 0.000, 0.000), H at (0.118, 0.487, 0.235), H at (0.214, 0.755, 0.562), F at (0.040, 0.580, 0.440), F at (0.147, 0.397, 0.064), F at (0.389, 0.961, 0.734) and F at (0.582, 0.001, 0.207).

---

GaH2F | PBE | relaxed

The calculation puts the density of states at the Fermi level at 5.4 states/eV/cell. Its energy above the most stable polymorph in this dataset is 1033 meV/atom. The value obtained for the electronic total energy is -2.67 eV/atom.

The structure belongs to space group Fm-3m (No. 225); the cell edges are 5.213, 5.213 and 5.213 Å and the angles 90.00°, 90.00° and 90.00°. Symmetry generates all atoms from Ga at (0.000, 0.000, 0.000), H at (0.250, 0.250, 0.250) and F at (0.000, 0.000, 0.500).

---

GaHF2 | PBE | relaxed

The calculation puts the density of states at the Fermi level at 9.5 states/eV/cell. Its energy above the most stable polymorph in this dataset is 877 meV/atom. The value obtained for the electronic total energy is -3.26 eV/atom.

The structure belongs to space group Fm-3m (No. 225); the cell edges are 5.457, 5.457 and 5.457 Å and the angles 90.00°, 90.00° and 90.00°. Symmetry generates all atoms from Ga at (0.000, 0.000, 0.000), H at (0.000, 0.000, 0.500) and F at (0.250, 0.250, 0.250).

---

GaHF3 | PBE | relaxed

The calculation puts the density of states at the Fermi level at 0.0 states/eV/cell. Its energy above the most stable polymorph in this dataset is 0 meV/atom. The value obtained for the electronic total energy is -4.14 eV/atom.

The structure belongs to space group C2/m (No. 12); the cell edges are 13.253, 2.576 and 7.572 Å and the angles 90.00°, 109.83° and 90.00°. Symmetry generates all atoms from Ga at (0.082, 0.000, 0.460), H at (0.141, 0.500, 0.963), F at (0.076, 0.500, 0.268), F at (0.139, 0.000, 0.953) and F at (0.185, 0.500, 0.609).

---

GaHF3 | PBE | relaxed

The calculation puts the density of states at the Fermi level at 0.0 states/eV/cell. Its energy above the most stable polymorph in this dataset is 142 meV/atom. The value obtained for the electronic total energy is -3.99 eV/atom.

The structure belongs to space group P1 (No. 1); the cell edges are 3.837, 5.937 and 7.246 Å and the angles 88.90°, 81.68° and 90.00°. Symmetry generates all atoms from Ga at (0.000, 0.000, 0.000), Ga at (0.000, 0.500, 0.000), H at (0.329, 0.001, 0.462), H at (0.661, 0.500, 0.538), F at (0.047, 0.754, 0.826), F at (0.048, 0.254, 0.826), F at (0.500, 0.000, 0.999), F at (0.500, 0.500, 0.000), F at (0.952, 0.246, 0.174) and F at (0.952, 0.746, 0.174).

---

GaHF3 | PBE | relaxed

The calculation puts the density of states at the Fermi level at 0.0 states/eV/cell. Its energy above the most stable polymorph in this dataset is 146 meV/atom. The value obtained for the electronic total energy is -3.99 eV/atom.

The structure belongs to space group Pm-3m (No. 221); the cell edges are 3.840, 3.840 and 3.840 Å and the angles 90.00°, 90.00° and 90.00°. Symmetry generates all atoms from Ga at (0.000, 0.000, 0.000), H at (0.500, 0.500, 0.500) and F at (0.000, 0.000, 0.500).

---

GaHF3 | PBE | relaxed

The calculation puts the density of states at the Fermi level at 1.5 states/eV/cell. Its energy above the most stable polymorph in this dataset is 670 meV/atom. The value obtained for the electronic total energy is -3.47 eV/atom.

The structure belongs to space group Pm-3m (No. 221); the cell edges are 3.515, 3.515 and 3.515 Å and the angles 90.00°, 90.00° and 90.00°. Symmetry generates all atoms from Ga at (0.000, 0.000, 0.000), H at (0.500, 0.500, 0.500) and F at (0.000, 0.500, 0.500).

---

Ga3HF | PBE | relaxed

The calculation puts the density of states at the Fermi level at 1.6 states/eV/cell. Its energy above the most stable polymorph in this dataset is 0 meV/atom. The value obtained for the electronic total energy is -3.02 eV/atom.

The structure belongs to space group Pm-3m (No. 221); the cell edges are 4.301, 4.301 and 4.301 Å and the angles 90.00°, 90.00° and 90.00°. Symmetry generates all atoms from Ga at (0.000, 0.000, 0.500), H at (0.000, 0.000, 0.000) and F at (0.500, 0.500, 0.500).

---

GaHF | PBE | relaxed

The calculation puts the density of states at the Fermi level at 2.6 states/eV/cell. Its energy above the most stable polymorph in this dataset is 0 meV/atom. The value obtained for the electronic total energy is -3.72 eV/atom.

The structure belongs to space group C2/m (No. 12); the cell edges are 12.773, 3.538 and 4.396 Å and the angles 90.00°, 108.96° and 90.00°. Symmetry generates all atoms from Ga at (0.109, 0.000, 0.354), H at (0.137, 0.500, 0.380) and F at (0.059, 0.000, 0.806).

---

GaHF2 | PBE | relaxed

The calculation puts the density of states at the Fermi level at 0.0 states/eV/cell. Its energy above the most stable polymorph in this dataset is 0 meV/atom. The value obtained for the electronic total energy is -4.14 eV/atom.

The structure belongs to space group C2/c (No. 15); the cell edges are 9.688, 3.378 and 6.061 Å and the angles 90.00°, 108.21° and 90.00°. Symmetry generates all atoms from Ga at (0.000, 0.001, 0.250), H at (0.000, 0.499, 0.750) and F at (0.137, 0.000, 0.068).

---

KGaH2F8 | PBE | relaxed

The calculation puts the density of states at the Fermi level at 4.1 states/eV/cell. The value obtained for the electronic total energy is -3.97 eV/atom.

The structure belongs to space group P-1 (No. 2); the cell edges are 4.711, 4.910 and 7.871 Å and the angles 90.02°, 90.21° and 115.59°. Symmetry generates all atoms from K at (0.000, 0.000, 0.000), Ga at (0.000, 0.000, 0.500), H at (0.002, 0.501, 0.679), F at (0.020, 0.741, 0.314), F at (0.023, 0.742, 0.686), F at (0.390, 0.601, 0.001) and F at (0.437, 0.215, 0.500).

---

LiGa2HF | PBE | relaxed

The calculation puts the density of states at the Fermi level at 1.9 states/eV/cell. The value obtained for the electronic total energy is -3.02 eV/atom.

The structure belongs to space group P4/mmm (No. 123); the cell edges are 4.673, 4.673 and 3.315 Å and the angles 90.00°, 90.00° and 90.00°. Symmetry generates all atoms from Li at (0.000, 0.000, 0.000), Ga at (0.000, 0.500, 0.500), H at (0.000, 0.000, 0.500) and F at (0.500, 0.500, 0.000).

---

GaHN2F | PBE | relaxed

The calculation puts the density of states at the Fermi level at 2.2 states/eV/cell. Its energy above the most stable polymorph in this dataset is 70 meV/atom. The value obtained for the electronic total energy is -3.84 eV/atom.

The structure belongs to space group P4/mmm (No. 123); the cell edges are 4.039, 4.039 and 4.052 Å and the angles 90.00°, 90.00° and 90.00°. Symmetry generates all atoms from Ga at (0.000, 0.000, 0.000), H at (0.500, 0.500, 0.500), N at (0.000, 0.500, 0.000) and F at (0.000, 0.000, 0.500).

---

GaH6N2F3 | PBE | relaxed

The calculation puts the density of states at the Fermi level at 0.0 states/eV/cell. The value obtained for the electronic total energy is -5.01 eV/atom.

The structure belongs to space group C2/m (No. 12); the cell edges are 9.578, 4.045 and 7.152 Å and the angles 90.00°, 131.09° and 90.00°. Symmetry generates all atoms from Ga at (0.000, 0.000, 0.000), H at (0.163, 0.296, 0.745), H at (0.182, 0.500, 0.561), N at (0.222, 0.500, 0.733), F at (0.000, 0.500, 0.000) and F at (0.021, 0.000, 0.749).

---

GaH4NF4 | PBE | relaxed

The calculation puts the density of states at the Fermi level at 0.0 states/eV/cell. The value obtained for the electronic total energy is -4.84 eV/atom.

The structure belongs to space group I4/mcm (No. 140); the cell edges are 5.357, 5.357 and 12.968 Å and the angles 90.00°, 90.00° and 90.00°. Symmetry generates all atoms from Ga at (0.000, 0.000, 0.000), H at (0.110, 0.390, 0.203), N at (0.000, 0.500, 0.250), F at (0.000, 0.000, 0.144) and F at (0.187, 0.313, 0.000).

---

GaHN2F | PBE | relaxed

The calculation puts the density of states at the Fermi level at 2.6 states/eV/cell. Its energy above the most stable polymorph in this dataset is 0 meV/atom. The value obtained for the electronic total energy is -3.91 eV/atom.

The structure belongs to space group P4/mmm (No. 123); the cell edges are 3.116, 3.116 and 4.166 Å and the angles 90.00°, 90.00° and 90.00°. Symmetry generates all atoms from Ga at (0.000, 0.000, 0.000), H at (0.500, 0.500, 0.500), N at (0.000, 0.500, 0.500) and F at (0.500, 0.500, 0.000).

---

GaHOF2 | PBE | relaxed

The calculation puts the density of states at the Fermi level at 0.5 states/eV/cell. Its energy above the most stable polymorph in this dataset is 142 meV/atom. The value obtained for the electronic total energy is -3.80 eV/atom.

The structure belongs to space group P4/mmm (No. 123); the cell edges are 3.044, 3.044 and 4.432 Å and the angles 90.00°, 90.00° and 90.00°. Symmetry generates all atoms from Ga at (0.000, 0.000, 0.000), H at (0.500, 0.500, 0.500), O at (0.500, 0.500, 0.000) and F at (0.000, 0.500, 0.500).

---

GaHO2F | PBE | relaxed

The calculation puts the density of states at the Fermi level at 1.8 states/eV/cell. The value obtained for the electronic total energy is -3.76 eV/atom.

The structure belongs to space group P4/mmm (No. 123); the cell edges are 3.216, 3.216 and 3.779 Å and the angles 90.00°, 90.00° and 90.00°. Symmetry generates all atoms from Ga at (0.000, 0.000, 0.000), H at (0.500, 0.500, 0.500), O at (0.000, 0.500, 0.500) and F at (0.500, 0.500, 0.000).

---

GaHOF2 | PBE | relaxed

The calculation puts the density of states at the Fermi level at 0.4 states/eV/cell. Its energy above the most stable polymorph in this dataset is 0 meV/atom. The value obtained for the electronic total energy is -3.94 eV/atom.

The structure belongs to space group P4/mmm (No. 123); the cell edges are 3.819, 3.819 and 3.851 Å and the angles 90.00°, 90.00° and 90.00°. Symmetry generates all atoms from Ga at (0.000, 0.000, 0.000), H at (0.500, 0.500, 0.500), O at (0.000, 0.000, 0.500) and F at (0.000, 0.500, 0.000).